Below is La2PmTmP4 after structural relaxation, with properties calculated at the PBE-GGA level.

a = 7.201 Å, b = 4.162 Å, c = 7.203 Å
α = 90.00°, β = 109.46°, γ = 90.00°
Positions (direct):
La 0.000 0.000 0.000
La 0.500 0.500 0.000
Pm 0.000 0.500 0.500
Tm 0.500 0.000 0.500
P 0.252 0.000 0.740
P 0.259 0.500 0.264
P 0.741 0.500 0.736
P 0.748 0.000 0.260

Calculated values
VASP energy	-53.21	eV for the cell shown
E_form	-1561	meV per atom

=====

Below is LaGePdPt2 after structural relaxation, with properties calculated at the PBE-GGA level.

a = 5.107 Å, b = 5.107 Å, c = 4.452 Å
α = 90.00°, β = 90.00°, γ = 90.00°
Positions (direct):
La 0.000 0.000 0.000
Ge 0.500 0.500 0.000
Pd 0.500 0.500 0.500
Pt 0.000 0.500 0.500
Pt 0.500 0.000 0.500

Calculated values
VASP energy	-27.70	eV for the cell shown
E_form	-176	meV per atom

=====

Below is EuDyBi after structural relaxation, with properties calculated at the PBE-GGA level.

a = 5.256 Å, b = 5.256 Å, c = 4.329 Å
α = 90.00°, β = 90.00°, γ = 120.00°
Positions (direct):
Eu 0.000 0.000 0.000
Dy 0.333 0.667 0.518
Bi 0.667 0.333 0.423

Calculated values
VASP energy	-19.85	eV for the cell shown
E_form	-364	meV per atom

=====

Below is ErSc2Ti after structural relaxation, with properties calculated at the PBE-GGA level.

a = 10.673 Å, b = 10.673 Å, c = 10.673 Å
α = 17.41°, β = 17.41°, γ = 17.41°
Positions (direct):
Er 0.000 0.000 0.000
Sc 0.242 0.242 0.242
Sc 0.758 0.758 0.758
Ti 0.500 0.500 0.500

Calculated values
VASP energy	-24.56	eV for the cell shown
E_form	139	meV per atom
polymorph energy (0 for the lowest one)	0.035	eV/f.u.

=====

Below is LiCaIn2 after structural relaxation, with properties calculated at the PBE-GGA level.

a = 3.604 Å, b = 5.147 Å, c = 5.436 Å
α = 90.00°, β = 90.00°, γ = 90.00°
Positions (direct):
Li 0.000 0.000 0.000
Ca 0.000 0.500 0.600
In 0.500 0.000 0.469
In 0.500 0.500 0.104

Calculated values
VASP energy	-10.69	eV for the cell shown
E_form	-325	meV per atom

=====

Below is TlIn2Ga2 after structural relaxation, with properties calculated at the PBE-GGA level.

a = 8.935 Å, b = 8.935 Å, c = 3.152 Å
α = 90.00°, β = 90.00°, γ = 90.00°
Positions (direct):
Tl 0.000 0.000 0.000
Tl 0.500 0.500 0.000
In 0.143 0.357 0.000
In 0.357 0.857 0.000
In 0.643 0.143 0.000
In 0.857 0.643 0.000
Ga 0.154 0.654 0.500
Ga 0.346 0.154 0.500
Ga 0.654 0.846 0.500
Ga 0.846 0.346 0.500

Calculated values
VASP energy	-27.09	eV for the cell shown
E_form	71	meV per atom
polymorph energy (0 for the lowest one)	0.183	eV/f.u.

=====

Below is PmY3Bi3 after structural relaxation, with properties calculated at the PBE-GGA level.

a = 9.236 Å, b = 9.236 Å, c = 5.862 Å
α = 90.00°, β = 90.00°, γ = 120.00°
Positions (direct):
Pm 0.333 0.667 0.250
Pm 0.667 0.333 0.750
Y 0.015 0.244 0.250
Y 0.229 0.985 0.250
Y 0.244 0.229 0.750
Y 0.756 0.771 0.250
Y 0.771 0.015 0.750
Y 0.985 0.756 0.750
Bi 0.063 0.432 0.750
Bi 0.369 0.937 0.750
Bi 0.432 0.369 0.250
Bi 0.568 0.631 0.750
Bi 0.631 0.063 0.250
Bi 0.937 0.568 0.250

Calculated values
VASP energy	-80.38	eV for the cell shown
E_form	-629	meV per atom
polymorph energy (0 for the lowest one)	1.058	eV/f.u.

=====

Below is Cd2Pd5Au2 after structural relaxation, with properties calculated at the PBE-GGA level.

a = 4.979 Å, b = 4.986 Å, c = 7.254 Å
α = 76.21°, β = 83.45°, γ = 60.11°
Positions (direct):
Cd 0.169 0.169 0.001
Cd 0.831 0.831 0.999
Pd 0.161 0.397 0.332
Pd 0.495 0.725 0.331
Pd 0.500 0.500 0.000
Pd 0.505 0.275 0.669
Pd 0.839 0.603 0.668
Au 0.180 0.937 0.664
Au 0.820 0.063 0.336

Calculated values
VASP energy	-36.22	eV for the cell shown
E_form	-207	meV per atom
polymorph energy (0 for the lowest one)	0.000	eV/f.u.